# NbRePd

A relaxed NbRePd crystal (PBE-GGA, the Alexandria database).

The formation energy from the elements comes out at 0.02 eV/atom.

Lattice parameters (Å, degrees): 4.5973 4.5973 2.6447 90.00 90.00 120.00
Space group P3m1 (No. 156)
One atom of each set of equivalent atoms:
Nb (0.0000, 0.0000, 0.0000) x1
Re (0.3333, 0.6667, 0.5229) x1
Pd (0.6667, 0.3333, 0.0296) x1

# TmPu3Pb4

A relaxed TmPu3Pb4 crystal (PBE-GGA, the Alexandria database).

The formation energy from the elements comes out at -0.22 eV/atom.

Lattice parameters (Å, degrees): 4.6506 4.8756 9.8044 90.00 90.00 90.00
Space group Pmmm (No. 47)
One atom of each set of equivalent atoms:
Tm (0.0000, 0.0000, 0.0000) x1
Pu (0.0000, 0.0000, 0.5000) x1
Pu (0.0000, 0.5000, 0.2570) x2
Pb (0.5000, 0.0000, 0.2455) x2
Pb (0.5000, 0.5000, 0.0000) x1
Pb (0.5000, 0.5000, 0.5000) x1

# TlSi3

A relaxed TlSi3 crystal (PBE-GGA, the Alexandria database).

The calculation puts the uncorrected formation energy at 0.415 eV per atom.

Lattice parameters (Å, degrees): 3.2916 3.2916 7.3988 90.00 90.00 90.00
Space group P4/mmm (No. 123)
One atom of each set of equivalent atoms:
Tl (0.0000, 0.0000, 0.0000) x1
Si (0.0000, 0.0000, 0.5000) x1
Si (0.5000, 0.5000, 0.3359) x2